[1]
Compound: Cd2ReRh
Source: Alexandria
Functional: PBE-GGA
Structure: relaxed

## Properties
The total energy is -0.373 Ry per atom. The value obtained for the total moment is 0.000 μB per formula unit. Its formation energy from the elements is 329 meV per atom. The density is 12.47 Mg/m³.

a = 4.844 Å, b = 4.844 Å, c = 5.254 Å
α = 82.27°, β = 82.27°, γ = 34.12°
Sites, in units of the cell vectors:
Rh 0.755 0.755 0.712
Cd 0.004 0.004 0.007
Cd 0.247 0.247 0.246
Re 0.494 0.494 0.534

[2]
Compound: CdRe2Rh
Source: Alexandria
Functional: PBE-GGA
Structure: relaxed

## Properties
The total energy is -0.591 Ry per atom. The value obtained for the total moment is 0.000 μB per formula unit. Its formation energy from the elements is 255 meV per atom. The density is 15.29 Mg/m³.

a = 2.789 Å, b = 3.928 Å, c = 5.827 Å
α = 90.00°, β = 90.00°, γ = 90.00°
Sites, in units of the cell vectors:
Re 0.500 0.500 0.236
Re 0.000 0.000 0.035
Rh 0.000 0.000 0.489
Cd 0.500 0.500 0.740

[3]
Compound: CdReRh2
Source: Alexandria
Functional: PBE-GGA
Structure: relaxed

## Properties
The total energy is -0.506 Ry per atom. The value obtained for the total moment is 0.000 μB per formula unit. Its formation energy from the elements is 126 meV per atom. The density is 13.46 Mg/m³.

a = 4.901 Å, b = 4.901 Å, c = 4.811 Å
α = 79.88°, β = 79.88°, γ = 33.21°
Sites, in units of the cell vectors:
Rh 0.001 0.001 0.969
Rh 0.257 0.257 0.265
Re 0.739 0.739 0.791
Cd 0.502 0.502 0.475

[4]
Compound: Cd2ReRh
Source: Alexandria
Functional: PBE-GGA
Structure: relaxed

## Properties
The total energy is -0.353 Ry per atom. The value obtained for the total moment is 2.387 μB per formula unit. Its formation energy from the elements is 600 meV per atom. The density is 12.28 Mg/m³.

a = 5.134 Å, b = 5.134 Å, c = 5.134 Å
α = 133.72°, β = 133.72°, γ = 67.52°
Sites, in units of the cell vectors:
Cd 0.250 0.750 0.500
Cd 0.750 0.250 0.500
Rh 0.000 0.000 0.000
Re 0.500 0.500 0.000

[5]
Compound: CdRe2Rh
Source: Alexandria
Functional: PBE-GGA
Structure: relaxed

## Properties
The total energy is -0.588 Ry per atom. The value obtained for the total moment is 0.000 μB per formula unit. Its formation energy from the elements is 296 meV per atom. The density is 15.44 Mg/m³.

a = 9.540 Å, b = 9.540 Å, c = 9.540 Å
α = 16.79°, β = 16.79°, γ = 16.79°
Sites, in units of the cell vectors:
Rh 0.500 0.500 0.500
Re 0.244 0.244 0.244
Re 0.756 0.756 0.756
Cd 0.000 0.000 0.000

[6]
Compound: CdRe2Rh
Source: Alexandria
Functional: PBE-GGA
Structure: relaxed

## Properties
The total energy is -0.574 Ry per atom. The value obtained for the total moment is 0.000 μB per formula unit. Its formation energy from the elements is 487 meV per atom. The density is 15.42 Mg/m³.

a = 3.773 Å, b = 3.773 Å, c = 4.447 Å
α = 90.00°, β = 90.00°, γ = 90.00°
Sites, in units of the cell vectors:
Cd 0.000 0.000 0.500
Re 0.500 0.000 0.000
Re 0.000 0.500 0.000
Rh 0.500 0.500 0.500

[7]
Compound: CdReRh2
Source: Alexandria
Functional: PBE-GGA
Structure: relaxed

## Properties
The total energy is -0.518 Ry per atom. The value obtained for the total moment is 0.000 μB per formula unit. Its formation energy from the elements is -30 meV per atom. The density is 13.41 Mg/m³.

a = 9.261 Å, b = 9.261 Å, c = 9.261 Å
α = 17.47°, β = 17.47°, γ = 17.47°
Sites, in units of the cell vectors:
Re 0.000 0.000 0.000
Rh 0.744 0.744 0.744
Rh 0.256 0.256 0.256
Cd 0.500 0.500 0.500

[8]
Compound: CdReRh2
Source: Alexandria
Functional: PBE-GGA
Structure: relaxed

## Properties
The total energy is -0.502 Ry per atom. The value obtained for the total moment is 0.000 μB per formula unit. Its formation energy from the elements is 181 meV per atom. The density is 13.40 Mg/m³.

a = 4.731 Å, b = 4.731 Å, c = 5.062 Å
α = 82.52°, β = 82.52°, γ = 33.82°
Sites, in units of the cell vectors:
Re 0.500 0.500 0.000
Rh 0.754 0.754 0.228
Rh 0.246 0.246 0.772
Cd 0.000 0.000 0.500